Record 1
Computed, not measured: a relaxed structure of Tb3Sm2Dy2 at the PBE level of DFT.

Values from the calculation:
ΔH_f (0 K): 116.6 meV per atom
space group: C2/m, No. 12
offset from the most stable computed form: 101.4 meV per atom
total DFT energy (no corrections): -4.531 eV per atom

Unit cell a=3.5106 b=8.5646 c=8.9299 alpha=118.57 beta=101.34 gamma=90.00
Positions (direct):
Dy1 0.1486 0.3311 0.2972
Dy2 0.8514 0.6689 0.7028
Tb1 0.0000 0.5000 0.0000
Tb2 0.7882 0.2000 0.5764
Tb3 0.2118 0.8000 0.4236
Sm1 0.4339 0.0891 0.8679
Sm2 0.5661 0.9109 0.1321

***

Record 2
Computed, not measured: a relaxed structure of Tb7SmDy3 at the PBE level of DFT.

Values from the calculation:
ΔH_f (0 K): 138.5 meV per atom
space group: P2/m, No. 10
offset from the most stable computed form: 0.0 meV per atom
total DFT energy (no corrections): -4.492 eV per atom

Unit cell a=5.5540 b=9.9028 c=8.9086 alpha=105.52 beta=128.53 gamma=90.00
Positions (direct):
Tb1 0.1473 0.2903 0.6472
Tb2 0.6772 0.3583 0.1773
Tb3 0.0790 0.1691 0.0790
Tb4 0.9210 0.8309 0.9210
Tb5 0.5000 0.0000 0.5000
Tb6 0.3228 0.6417 0.8227
Tb7 0.8527 0.7097 0.3528
Dy1 0.0000 0.5000 0.0000
Dy2 0.7217 0.0022 0.2217
Dy3 0.2783 0.9978 0.7783
Sm1 0.5000 0.5000 0.5000

***

Record 3
Computed, not measured: a relaxed structure of Tb5SmDy3 at the PBE level of DFT.

Values from the calculation:
ΔH_f (0 K): 313.5 meV per atom
space group: C2/c, No. 15
offset from the most stable computed form: 0.0 meV per atom
total DFT energy (no corrections): -4.317 eV per atom

Unit cell a=6.1953 b=9.1731 c=11.2545 alpha=90.66 beta=90.00 gamma=109.74
Positions (direct):
Dy1 0.5657 0.6717 0.5833
Dy2 0.4343 0.3283 0.4167
Dy3 0.0000 0.0000 0.0000
Dy4 0.0000 0.0000 0.5000
Dy5 0.1060 0.6717 0.0833
Dy6 0.8940 0.3283 0.9167
Tb1 0.9679 0.3490 0.2484
Tb2 0.4385 0.3272 0.0809
Tb3 0.8887 0.3272 0.5809
Tb4 0.3811 0.3490 0.7484
Tb5 0.5615 0.6728 0.9191
Tb6 0.6189 0.6510 0.2516
Tb7 0.1113 0.6728 0.4191
Tb8 0.0321 0.6510 0.7516
Tb9 0.5915 0.0000 0.2500
Tb10 0.4085 0.0000 0.7500
Sm1 0.8845 0.0000 0.7500
Sm2 0.1155 0.0000 0.2500

***

Record 4
Computed, not measured: a relaxed structure of Tb4SmDy at the PBE level of DFT.

Values from the calculation:
ΔH_f (0 K): 251.3 meV per atom
space group: Cmcm, No. 63
offset from the most stable computed form: 235.3 meV per atom
total DFT energy (no corrections): -4.389 eV per atom

Unit cell a=6.8811 b=6.8811 c=9.7647 alpha=90.00 beta=90.00 gamma=121.35
Positions (direct):
Tb1 0.6552 0.3448 0.5702
Tb2 0.1578 0.3631 0.7500
Tb3 0.3448 0.6552 0.0702
Tb4 0.6369 0.8422 0.7500
Tb5 0.3448 0.6552 0.4298
Tb6 0.8422 0.6369 0.2500
Tb7 0.3631 0.1578 0.2500
Tb8 0.6552 0.3448 0.9298
Sm1 0.8230 0.1770 0.2500
Sm2 0.1770 0.8230 0.7500
Dy1 0.0000 0.0000 0.5000
Dy2 0.0000 0.0000 0.0000

***

Record 5
Computed, not measured: a relaxed structure of Tb3Sm2Dy5 at the PBE level of DFT.

Values from the calculation:
ΔH_f (0 K): 403.7 meV per atom
space group: Ibam, No. 72
offset from the most stable computed form: 206.6 meV per atom
total DFT energy (no corrections): -4.230 eV per atom

Unit cell a=10.8751 b=9.8736 c=9.8736 alpha=56.51 beta=56.58 gamma=56.58
Positions (direct):
Dy1 0.0004 0.7496 0.7496
Dy2 0.6241 0.2870 0.4648
Dy3 0.9996 0.2504 0.2504
Dy4 0.1241 0.4648 0.2870
Dy5 0.8759 0.5352 0.7130
Dy6 0.2500 0.5000 0.5000
Dy7 0.7500 0.5000 0.5000
Dy8 0.3759 0.7130 0.5352
Dy9 0.5004 0.7496 0.7496
Dy10 0.4996 0.2504 0.2504
Sm1 0.1251 0.7733 0.9766
Sm2 0.8749 0.2267 0.0234
Sm3 0.6251 0.9766 0.7733
Sm4 0.3749 0.0234 0.2267
Tb1 0.3745 0.3736 0.8773
Tb2 0.6255 0.6264 0.1227
Tb3 0.7500 0.0000 0.0000
Tb4 0.8745 0.8773 0.3736
Tb5 0.2500 0.0000 0.0000
Tb6 0.1255 0.1227 0.6264

***

Record 6
Computed, not measured: a relaxed structure of Tb8Sm2Dy at the PBE level of DFT.

Values from the calculation:
ΔH_f (0 K): 162.6 meV per atom
space group: C2/m, No. 12
offset from the most stable computed form: 146.7 meV per atom
total DFT energy (no corrections): -4.481 eV per atom

Unit cell a=6.6739 b=10.2175 c=10.2175 alpha=38.13 beta=59.46 gamma=59.46
Positions (direct):
Dy1 0.0000 0.0000 0.0000
Tb1 0.2286 0.3508 0.8256
Tb2 0.7714 0.1744 0.6492
Tb3 0.8202 0.2438 0.2438
Tb4 0.1798 0.7562 0.7562
Tb5 0.2701 0.4114 0.4114
Tb6 0.7299 0.5886 0.5886
Tb7 0.2286 0.8256 0.3508
Tb8 0.7714 0.6492 0.1744
Sm1 0.6005 0.8002 0.8002
Sm2 0.3995 0.1998 0.1998

***

Record 7
Computed, not measured: a relaxed structure of TbSm4Dy at the PBE level of DFT.

Values from the calculation:
ΔH_f (0 K): 262.6 meV per atom
space group: F-43m, No. 216
offset from the most stable computed form: 246.8 meV per atom
total DFT energy (no corrections): -4.422 eV per atom

Unit cell a=6.6337 b=6.6337 c=6.6337 alpha=60.00 beta=60.00 gamma=60.00
Positions (direct):
Dy1 0.0000 0.0000 0.0000
Sm1 0.6251 0.6251 0.1248
Sm2 0.6251 0.1248 0.6251
Sm3 0.6251 0.6251 0.6251
Sm4 0.1248 0.6251 0.6251
Tb1 0.2500 0.2500 0.2500

***

Record 8
Computed, not measured: a relaxed structure of Tb6Sm2Dy5 at the PBE level of DFT.

Values from the calculation:
ΔH_f (0 K): 97.4 meV per atom
space group: Pbam, No. 55
total DFT energy (no corrections): -4.536 eV per atom

Unit cell a=3.5889 b=11.6775 c=20.2413 alpha=90.00 beta=90.00 gamma=90.00
Positions (direct):
Dy1 0.5000 0.8009 0.0515
Dy2 0.5000 0.0908 0.2242
Dy3 0.5000 0.1991 0.9485
Dy4 0.5000 0.6991 0.5515
Dy5 0.5000 0.9092 0.7758
Dy6 0.5000 0.3009 0.4485
Dy7 0.5000 0.4092 0.7242
Dy8 0.5000 0.0000 0.5000
Dy9 0.5000 0.5908 0.2758
Dy10 0.5000 0.5000 0.0000
Sm1 0.0000 0.6683 0.7131
Sm2 0.0000 0.8317 0.2131
Sm3 0.0000 0.1683 0.7869
Sm4 0.0000 0.3317 0.2869
Tb1 0.0000 0.0590 0.0790
Tb2 0.0000 0.9194 0.6330
Tb3 0.0000 0.9410 0.9210
Tb4 0.0000 0.5590 0.4210
Tb5 0.0000 0.0806 0.3670
Tb6 0.5000 0.1759 0.6310
Tb7 0.5000 0.3241 0.1310
Tb8 0.5000 0.6759 0.8690
Tb9 0.5000 0.8241 0.3690
Tb10 0.0000 0.5806 0.1330
Tb11 0.0000 0.4194 0.8670
Tb12 0.0000 0.4410 0.5790